Material: Ba2V2O7
Method: DFT, GGA-PBEsol
State: optimized geometry

Cell and atoms, written as CIF:
```
data_Ba2V2O7
_chemical_formula_sum 'Ba8 V8 O28'
_space_group_name_H-M_alt 'P -1'
_space_group_IT_number 2
_cell_length_a 7.301
_cell_length_b 7.308
_cell_length_c 13.521
_cell_angle_alpha 80.60
_cell_angle_beta 87.78
_cell_angle_gamma 89.68
loop_
_space_group_symop_operation_xyz
'x,y,z'
'-x,-y,-z'
loop_
_atom_site_label
_atom_site_fract_x
_atom_site_fract_y
_atom_site_fract_z
Ba1 0.086 0.331 0.158
Ba2 0.228 0.743 0.343
Ba3 0.329 0.284 0.857
Ba4 0.362 0.868 0.642
V1 0.158 0.809 0.084
V2 0.170 0.196 0.413
V3 0.229 0.400 0.603
V4 0.433 0.803 0.894
O1 0.006 0.119 0.346
O2 0.006 0.324 0.954
O3 0.057 0.951 0.155
O4 0.087 0.284 0.525
O5 0.093 0.443 0.701
O6 0.294 0.660 0.158
O7 0.295 0.354 0.335
O8 0.297 0.926 0.977
O9 0.299 0.667 0.835
O10 0.314 0.015 0.448
O11 0.314 0.597 0.538
O12 0.397 0.257 0.654
O13 0.397 0.318 0.047
O14 0.478 0.032 0.197
```

Theoretical density, g/cm³: 4.56
Total energy, Ha/atom: -0.3041
DOS(E_F), states/eV per cell: 0.00
M_tot, Bohr magnetons per cell: 0.0
Energy relative to the elements, uncorrected, eV/atom: -2.79


Material: LaCu2
Method: DFT, GGA-PBEsol
State: optimized geometry

Cell and atoms, written as CIF:
```
data_LaCu2
_chemical_formula_sum 'La1 Cu2'
_space_group_name_H-M_alt 'P 6/m m m'
_space_group_IT_number 191
_space_group_name_Hall '-P 6 2'
_cell_length_a 4.2629
_cell_length_b 4.2629
_cell_length_c 3.7536
_cell_angle_alpha 90.00
_cell_angle_beta 90.00
_cell_angle_gamma 120.00
loop_
_atom_site_label
_atom_site_fract_x
_atom_site_fract_y
_atom_site_fract_z
La1 0.0000 0.0000 0.0000
Cu1 0.3333 0.6667 0.5000
```

Theoretical density, g/cm³: 7.48
Total energy, Ha/atom: -0.1778
DOS(E_F), states/eV per cell: 1.99
M_tot, Bohr magnetons per cell: 0.0
Calculated formation energy, eV per atom: -0.167


Material: SrEr2O4
Method: DFT, GGA-PBEsol
State: optimized geometry

Cell and atoms, written as CIF:
```
data_SrEr2O4
_chemical_formula_sum 'Sr1 Er2 O4'
_space_group_name_H-M_alt 'P 1 m 1'
_space_group_IT_number 6
_cell_length_a 5.805
_cell_length_b 3.200
_cell_length_c 7.189
_cell_angle_alpha 90.00
_cell_angle_beta 91.80
_cell_angle_gamma 90.00
loop_
_space_group_symop_operation_xyz
'x,y,z'
'x,-y,z'
loop_
_atom_site_label
_atom_site_fract_x
_atom_site_fract_y
_atom_site_fract_z
Sr1 0.000 0.000 0.000
Er1 0.454 0.500 0.283
Er2 0.964 0.500 0.496
O1 0.234 0.000 0.398
O2 0.276 0.500 0.040
O3 0.735 0.000 0.301
O4 0.911 0.000 0.682
```

Relative energy among the computed polymorphs, eV per formula unit: 3.00
Theoretical density, g/cm³: 6.05
Total energy, Ha/atom: -0.2824
DOS(E_F), states/eV per cell: 0.00
M_tot, Bohr magnetons per cell: 0.0
Energy relative to the elements, uncorrected, eV/atom: -3.01


Material: MoOsRh2
Method: DFT, GGA-PBEsol
State: optimized geometry

Cell and atoms, written as CIF:
```
data_MoOsRh2
_chemical_formula_sum 'Mo2 Os2 Rh4'
_space_group_name_H-M_alt 'I 4/m m m'
_space_group_IT_number 139
_space_group_name_Hall '-I 4 2'
_cell_length_a 3.788
_cell_length_b 3.788
_cell_length_c 7.769
_cell_angle_alpha 90.00
_cell_angle_beta 90.00
_cell_angle_gamma 90.00
loop_
_atom_site_label
_atom_site_fract_x
_atom_site_fract_y
_atom_site_fract_z
Mo1 0.000 0.000 0.000
Os1 0.000 0.000 0.500
Rh1 0.000 0.500 0.250
```

Relative energy among the computed polymorphs, eV per formula unit: 0.26
Theoretical density, g/cm³: 14.66
Total energy, Ha/atom: -0.3735
DOS(E_F), states/eV per cell: 5.78
M_tot, Bohr magnetons per cell: 0.0
Calculated formation energy, eV per atom: -0.099


Material: LiSc2Zn
Method: DFT, GGA-PBEsol
State: optimized geometry

Cell and atoms, written as CIF:
```
data_LiSc2Zn
_chemical_formula_sum 'Li2 Sc4 Zn2'
_space_group_name_H-M_alt 'I m m 2'
_space_group_IT_number 44
_cell_length_a 3.233
_cell_length_b 4.771
_cell_length_c 9.906
_cell_angle_alpha 90.00
_cell_angle_beta 90.00
_cell_angle_gamma 90.00
loop_
_space_group_symop_operation_xyz
'x,y,z'
'-x,-y,z'
'-x,y,z'
'x,-y,z'
'x+1/2,y+1/2,z+1/2'
'-x+1/2,-y+1/2,z+1/2'
'-x+1/2,y+1/2,z+1/2'
'x+1/2,-y+1/2,z+1/2'
loop_
_atom_site_label
_atom_site_fract_x
_atom_site_fract_y
_atom_site_fract_z
Li1 0.000 0.000 0.000
Sc1 0.000 0.000 0.560
Sc2 0.000 0.500 0.779
Zn1 0.000 0.500 0.302
```

Theoretical density, g/cm³: 3.53
Total energy, Ha/atom: -0.1556
DOS(E_F), states/eV per cell: 9.01
M_tot, Bohr magnetons per cell: 2.0
Calculated formation energy, eV per atom: -0.043


Material: MnFe4
Method: DFT, GGA-PBEsol
State: optimized geometry

Cell and atoms, written as CIF:
```
data_MnFe4
_chemical_formula_sum 'Mn2 Fe8'
_space_group_name_H-M_alt 'I 4/m'
_space_group_IT_number 87
_space_group_name_Hall '-I 4'
_cell_length_a 5.402
_cell_length_b 5.402
_cell_length_c 3.430
_cell_angle_alpha 90.00
_cell_angle_beta 90.00
_cell_angle_gamma 90.00
loop_
_atom_site_label
_atom_site_fract_x
_atom_site_fract_y
_atom_site_fract_z
Mn1 0.000 0.000 0.000
Fe1 0.100 0.699 0.500
```

Relative energy among the computed polymorphs, eV per formula unit: 0.00
Theoretical density, g/cm³: 9.24
Total energy, Ha/atom: -0.3328
DOS(E_F), states/eV per cell: 14.54
M_tot, Bohr magnetons per cell: 1.8
Calculated formation energy, eV per atom: 0.066


Material: Li6Sb2S7
Method: DFT, GGA-PBEsol
State: optimized geometry

Cell and atoms, written as CIF:
```
data_Li6Sb2S7
_chemical_formula_sum 'Li12 Sb4 S14'
_space_group_name_H-M_alt 'P 1 21/c 1'
_space_group_IT_number 14
_cell_length_a 6.423
_cell_length_b 7.469
_cell_length_c 12.531
_cell_angle_alpha 90.00
_cell_angle_beta 109.73
_cell_angle_gamma 90.00
loop_
_space_group_symop_operation_xyz
'x,y,z'
'-x,-y,-z'
'-x,y+1/2,-z+1/2'
'x,-y+1/2,z+1/2'
loop_
_atom_site_label
_atom_site_fract_x
_atom_site_fract_y
_atom_site_fract_z
Li1 0.227 0.218 0.359
Li2 0.227 0.720 0.859
Li3 0.253 0.502 0.648
Sb1 0.246 0.000 0.627
S1 0.001 0.745 0.000
S2 0.042 0.001 0.763
S3 0.500 0.000 0.500
S4 0.500 0.248 0.249
```

Theoretical density, g/cm³: 2.99
Total energy, Ha/atom: -0.1590
DOS(E_F), states/eV per cell: 2.28
M_tot, Bohr magnetons per cell: 0.0
Energy relative to the elements, uncorrected, eV/atom: -0.89


Material: TaBrCl2
Method: DFT, GGA-PBEsol
State: optimized geometry

Cell and atoms, written as CIF:
```
data_TaBrCl2
_chemical_formula_sum 'Ta3 Br3 Cl6'
_space_group_name_H-M_alt 'R 3 m'
_space_group_IT_number 160
_space_group_name_Hall 'R 3 -2"'
_cell_length_a 3.2153
_cell_length_b 3.2153
_cell_length_c 26.4374
_cell_angle_alpha 90.00
_cell_angle_beta 90.00
_cell_angle_gamma 120.00
loop_
_atom_site_label
_atom_site_fract_x
_atom_site_fract_y
_atom_site_fract_z
Ta1 0.0000 0.0000 0.0000
Br1 0.0000 0.0000 0.2633
Cl1 0.0000 0.0000 0.4990
Cl2 0.0000 0.0000 0.7308
```

Relative energy among the computed polymorphs, eV per formula unit: 1.21
Theoretical density, g/cm³: 6.98
Total energy, Ha/atom: -0.1868
DOS(E_F), states/eV per cell: 9.19
M_tot, Bohr magnetons per cell: 0.0
Energy relative to the elements, uncorrected, eV/atom: -0.47


Material: Cr3HgN
Method: DFT, GGA-PBEsol
State: optimized geometry

Cell and atoms, written as CIF:
```
data_Cr3HgN
_chemical_formula_sum 'Cr3 Hg1 N1'
_space_group_name_H-M_alt 'P m -3 m'
_space_group_IT_number 221
_space_group_name_Hall '-P 4 2 3'
_cell_length_a 3.866
_cell_length_b 3.866
_cell_length_c 3.866
_cell_angle_alpha 90.00
_cell_angle_beta 90.00
_cell_angle_gamma 90.00
loop_
_atom_site_label
_atom_site_fract_x
_atom_site_fract_y
_atom_site_fract_z
Cr1 0.000 0.000 0.500
Hg1 0.500 0.500 0.500
N1 0.000 0.000 0.000
```

Theoretical density, g/cm³: 10.65
Total energy, Ha/atom: -0.2956
DOS(E_F), states/eV per cell: 6.79
M_tot, Bohr magnetons per cell: 0.0
Energy relative to the elements, uncorrected, eV/atom: -0.08


Material: La2ZnHg
Method: DFT, GGA-PBEsol
State: optimized geometry

Cell and atoms, written as CIF:
```
data_La2ZnHg
_chemical_formula_sum 'La2 Zn1 Hg1'
_space_group_name_H-M_alt 'P 4/m m m'
_space_group_IT_number 123
_space_group_name_Hall '-P 4 2'
_cell_length_a 3.784
_cell_length_b 3.784
_cell_length_c 7.389
_cell_angle_alpha 90.00
_cell_angle_beta 90.00
_cell_angle_gamma 90.00
loop_
_atom_site_label
_atom_site_fract_x
_atom_site_fract_y
_atom_site_fract_z
La1 0.000 0.000 0.232
Zn1 0.500 0.500 0.000
Hg1 0.500 0.500 0.500
```

Relative energy among the computed polymorphs, eV per formula unit: 0.00
Theoretical density, g/cm³: 8.54
Total energy, Ha/atom: -0.1336
DOS(E_F), states/eV per cell: 3.02
M_tot, Bohr magnetons per cell: 0.0
Calculated formation energy, eV per atom: -0.426


Material: ZrInSb2
Method: DFT, GGA-PBEsol
State: optimized geometry

Cell and atoms, written as CIF:
```
data_ZrInSb2
_chemical_formula_sum 'Zr4 In4 Sb8'
_space_group_name_H-M_alt 'F -4 3 m'
_space_group_IT_number 216
_space_group_name_Hall 'F -4 2 3'
_cell_length_a 7.286
_cell_length_b 7.286
_cell_length_c 7.286
_cell_angle_alpha 90.00
_cell_angle_beta 90.00
_cell_angle_gamma 90.00
loop_
_atom_site_label
_atom_site_fract_x
_atom_site_fract_y
_atom_site_fract_z
Zr1 0.000 0.000 0.000
In1 0.250 0.250 0.750
Sb1 0.000 0.000 0.500
Sb2 0.250 0.250 0.250
```

Theoretical density, g/cm³: 7.72
Total energy, Ha/atom: -0.1906
DOS(E_F), states/eV per cell: 15.75
M_tot, Bohr magnetons per cell: 0.0
Energy relative to the elements, uncorrected, eV/atom: 0.11


Material: SrScBe2Co
Method: DFT, GGA-PBEsol
State: optimized geometry

Cell and atoms, written as CIF:
```
data_SrScBe2Co
_chemical_formula_sum 'Sr1 Sc1 Be2 Co1'
_space_group_name_H-M_alt 'P 4/m m m'
_space_group_IT_number 123
_space_group_name_Hall '-P 4 2'
_cell_length_a 4.778
_cell_length_b 4.778
_cell_length_c 4.436
_cell_angle_alpha 90.00
_cell_angle_beta 90.00
_cell_angle_gamma 90.00
loop_
_atom_site_label
_atom_site_fract_x
_atom_site_fract_y
_atom_site_fract_z
Sr1 0.000 0.000 0.000
Sc1 0.500 0.500 0.500
Be1 0.000 0.500 0.000
Co1 0.000 0.000 0.500
```

Theoretical density, g/cm³: 3.44
Total energy, Ha/atom: -0.1120
DOS(E_F), states/eV per cell: 4.57
M_tot, Bohr magnetons per cell: 0.2
Calculated formation energy, eV per atom: 1.788


Question: Look up the M_tot of the fourth one.
Answer: 0.0 Bohr magnetons per cell


Question: What is the theoretical density in the third record?
Answer: 6.05 g/cm³


Question: What is the formula in the eighth record?
Answer: TaBrCl2